A relaxed GaBrO crystal. Source: Alexandria via LeMat-Bulk, functional PBE-GGA. Values from VASP.

E_tot, eV/atom: -4.373
Symmetry: Cc, No. 9

The structure in Quantum ESPRESSO input format:
```
&SYSTEM
  ibrav = 0, nat = 18, ntyp = 3
/
ATOMIC_SPECIES
Ga 69.72 Ga.upf
Br 79.90 Br.upf
O 16.00 O.upf
CELL_PARAMETERS angstrom
5.768 0.000 0.000
2.884 8.546 0.070
2.884 1.656 9.086
ATOMIC_POSITIONS crystal
Ga 0.930 0.708 0.263
Ga 0.537 0.214 0.190
Ga 0.059 0.714 0.690
Ga 0.915 0.340 0.305
Ga 0.440 0.840 0.805
Ga 0.099 0.208 0.763
Br 0.637 0.932 0.145
Br 0.315 0.663 0.078
Br 0.009 0.839 0.427
Br 0.285 0.432 0.645
Br 0.945 0.163 0.578
Br 0.725 0.339 0.927
O 0.807 0.540 0.342
O 0.215 0.267 0.185
O 0.332 0.767 0.685
O 0.673 0.247 0.316
O 0.764 0.747 0.816
O 0.311 0.040 0.842
```